w.
The following is a PBE-GGA calculation of a geometry-optimized KInGe2O6 structure, from the Alexandria database. Values from VASP.

## Properties
Symmetry   C2/c, No. 15

The structure in Quantum ESPRESSO input format:
```
&SYSTEM
  ibrav = 0, nat = 20, ntyp = 4
/
ATOMIC_SPECIES
K 39.10 K.upf
In 114.82 In.upf
Ge 72.64 Ge.upf
O 16.00 O.upf
ATOMIC_POSITIONS angstrom
K 5.0130 -0.9338 -5.1971
K 2.0568 -8.3566 -0.1499
In 3.3364 -5.3186 0.2045
In 3.7334 -3.9718 -5.5515
Ge 5.9266 -4.3306 -2.9076
Ge 2.4148 -1.9427 -2.0593
Ge 1.1432 -4.9598 -2.4394
Ge 4.6550 -7.3477 -3.2878
O 7.5603 -4.8160 -3.2872
O 0.9553 -1.0016 -2.2410
O -0.4906 -4.4743 -2.0598
O 6.1145 -8.2888 -3.1060
O 5.1264 -3.4469 -4.1771
O 3.8298 -1.2185 -2.7706
O 1.9434 -5.8435 -1.1699
O 3.2400 -8.0719 -2.5764
O 4.3523 -6.9676 -5.0376
O 2.1406 -3.5229 -2.9279
O 2.7175 -2.3228 -0.3095
O 4.9291 -5.7674 -2.4192
CELL_PARAMETERS angstrom
-1.6719 -3.7555 -3.5674
5.6705 0.6313 -5.0768
3.0712 -6.1662 3.2972
```



x.
The following is a PBE-GGA calculation of a geometry-optimized KInGe2O6 structure, from the Alexandria database. Values from VASP.

## Properties
Symmetry   C2/c, No. 15

The structure in Quantum ESPRESSO input format:
```
&SYSTEM
  ibrav = 0, nat = 20, ntyp = 4
/
ATOMIC_SPECIES
K 39.10 K.upf
In 114.82 In.upf
Ge 72.64 Ge.upf
O 16.00 O.upf
ATOMIC_POSITIONS angstrom
K -6.4677 -4.3494 -0.6639
K -5.2919 -0.5077 -2.9443
In -8.2825 0.8686 -1.7734
In -3.4770 -5.7258 -1.8348
Ge -3.1039 -2.1846 -0.8336
Ge -8.6557 -2.6726 -2.7747
Ge -5.7580 -3.7815 -4.0025
Ge -6.0015 -1.0757 0.3942
O -9.1198 -3.6133 -1.2944
O -4.8848 -2.0112 -0.6871
O -2.6397 -1.2439 -2.3139
O -6.8747 -2.8459 -2.9211
O -5.1552 -5.0782 -3.0145
O -2.6829 -3.8316 -1.1956
O -6.6044 0.2210 -0.5937
O -9.0766 -1.0256 -2.4127
O -9.4670 -3.4304 -4.1663
O -5.0830 -0.6261 1.8514
O -2.2925 -1.4268 0.5580
O -6.6766 -4.2311 -5.4596
CELL_PARAMETERS angstrom
-5.0890 2.5202 -4.3200
-1.9821 -6.4128 -2.4205
-4.6885 -0.9646 3.1323
```



In order of decreasing stability: x, w.



w.
The following is a PBE-GGA calculation of a geometry-optimized LaIn3Ge structure, from the Alexandria database. Values from VASP.

## Properties
Symmetry   Pm-3m, No. 221

The structure in Quantum ESPRESSO input format:
```
&SYSTEM
  ibrav = 0, nat = 5, ntyp = 3
/
ATOMIC_SPECIES
Ge 72.64 Ge.upf
In 114.82 In.upf
La 138.91 La.upf
ATOMIC_POSITIONS angstrom
Ge 3.0025 3.0025 3.0025
In 0.0000 3.0025 0.0000
In 0.0000 0.0000 3.0025
In 3.0025 0.0000 0.0000
La 0.0000 0.0000 0.0000
CELL_PARAMETERS angstrom
6.0050 0.0000 0.0000
0.0000 6.0050 0.0000
0.0000 0.0000 6.0050
```



x.
The following is a PBE-GGA calculation of a geometry-optimized LaIn3Ge structure, from the Alexandria database. Values from VASP.

## Properties
Symmetry   Pm-3m, No. 221

The structure in Quantum ESPRESSO input format:
```
&SYSTEM
  ibrav = 0, nat = 5, ntyp = 3
/
ATOMIC_SPECIES
Ge 72.64 Ge.upf
In 114.82 In.upf
La 138.91 La.upf
ATOMIC_POSITIONS angstrom
Ge 0.0000 0.0000 0.0000
In -0.4103 -2.4379 1.0163
In 0.5067 0.9367 2.4516
In -2.5922 0.5690 0.3183
La -2.4958 -0.9322 3.7861
CELL_PARAMETERS angstrom
-5.1843 1.1380 0.6366
-0.8207 -4.8757 2.0325
1.0133 1.8734 4.9032
```



In order of decreasing stability: x, w.



w.
The following is a PBE-GGA calculation of a geometry-optimized Li3InGe structure, from the Alexandria database. Values from VASP.

## Properties
Symmetry   R3c, No. 161

The structure in Quantum ESPRESSO input format:
```
&SYSTEM
  ibrav = 0, nat = 10, ntyp = 3
/
ATOMIC_SPECIES
Li 6.94 Li.upf
In 114.82 In.upf
Ge 72.64 Ge.upf
ATOMIC_POSITIONS angstrom
Li 3.0509 5.9906 2.1339
Li 5.7180 4.4577 4.9810
Li 6.1899 5.7937 2.3443
Li 7.6064 3.2404 3.0032
Li 4.4675 1.5746 5.2260
Li 6.6820 2.2528 0.1561
In 9.9282 6.8642 5.2548
In 4.6145 3.1904 2.4423
Ge 7.9481 5.4952 4.2068
Ge 2.6344 1.8214 1.3943
CELL_PARAMETERS angstrom
6.2778 -0.0452 -0.0346
2.1748 5.8892 -0.0346
2.1748 1.5036 5.6942
```



x.
The following is a PBE-GGA calculation of a geometry-optimized Li3InGe structure, from the Alexandria database. Values from VASP.

## Properties
Symmetry   Pm-3m, No. 221

The structure in Quantum ESPRESSO input format:
```
&SYSTEM
  ibrav = 0, nat = 5, ntyp = 3
/
ATOMIC_SPECIES
Ge 72.64 Ge.upf
Li 6.94 Li.upf
In 114.82 In.upf
ATOMIC_POSITIONS angstrom
Ge -0.0318 -3.6299 -2.3130
Li -0.0612 -0.1196 -2.4815
Li 1.7714 -1.7425 0.0403
Li -1.7419 -1.7678 0.1282
In 0.0000 0.0000 0.0000
CELL_PARAMETERS angstrom
-3.4838 -3.5356 0.2564
-0.1225 -0.2392 -4.9629
3.5427 -3.4850 0.0806
```



y.
The following is a PBE-GGA calculation of a geometry-optimized Li3InGe structure, from the Alexandria database. Values from VASP.

## Properties
Symmetry   Pm-3m, No. 221

The structure in Quantum ESPRESSO input format:
```
&SYSTEM
  ibrav = 0, nat = 5, ntyp = 3
/
ATOMIC_SPECIES
Ge 72.64 Ge.upf
Li 6.94 Li.upf
In 114.82 In.upf
ATOMIC_POSITIONS angstrom
Ge 0.0000 0.0000 0.0000
Li 0.0000 2.4244 0.0000
Li 0.0000 0.0000 2.4244
Li 2.4244 0.0000 0.0000
In 2.4244 2.4244 2.4244
CELL_PARAMETERS angstrom
4.8489 0.0000 0.0000
0.0000 4.8489 0.0000
0.0000 0.0000 4.8489
```



In order of decreasing stability: w, y, x.



w.
The following is a PBE-GGA calculation of a geometry-optimized Li6In2Ge structure, from the Alexandria database. Values from VASP.

## Properties
Symmetry   P6/mmm, No. 191

The structure in Quantum ESPRESSO input format:
```
&SYSTEM
  ibrav = 0, nat = 9, ntyp = 3
/
ATOMIC_SPECIES
Li 6.94 Li.upf
In 114.82 In.upf
Ge 72.64 Ge.upf
ATOMIC_POSITIONS angstrom
Li 1.4488 4.6574 2.6789
Li 1.4559 6.8786 6.5107
Li 1.4550 2.2308 9.2049
Li 1.4521 4.6614 5.2362
Li 1.4479 0.0095 5.3731
Li 1.4516 2.2267 6.6476
In 0.0006 2.2958 3.9605
In 2.9031 4.5923 7.9233
Ge 0.0000 0.0000 0.0000
CELL_PARAMETERS angstrom
2.9019 0.0000 0.0011
0.0016 6.8742 3.9530
0.0002 0.0138 7.9297
```



x.
The following is a PBE-GGA calculation of a geometry-optimized Li6In2Ge structure, from the Alexandria database. Values from VASP.

## Properties
Symmetry   P-62m, No. 189

The structure in Quantum ESPRESSO input format:
```
&SYSTEM
  ibrav = 0, nat = 9, ntyp = 3
/
ATOMIC_SPECIES
Li 6.94 Li.upf
In 114.82 In.upf
Ge 72.64 Ge.upf
ATOMIC_POSITIONS angstrom
Li 1.4359 5.3517 0.0000
Li 1.4359 1.4024 2.4290
Li 1.4359 -2.6759 4.6350
Li 0.0000 2.3442 0.0000
Li 0.0000 2.9063 5.0340
Li 0.0000 6.9846 2.0300
In 0.0000 0.0001 4.7092
In 0.0000 4.0784 2.3547
Ge 1.4359 0.0001 0.0000
CELL_PARAMETERS angstrom
2.8717 0.0000 0.0000
0.0000 8.1566 0.0000
0.0000 -4.0783 7.0640
```



In order of decreasing stability: w, x.



w.
The following is a PBE-GGA calculation of a geometry-optimized LiInGe2Pd structure, from the Alexandria database. Values from VASP.

## Properties
Symmetry   P4/mmm, No. 123

The structure in Quantum ESPRESSO input format:
```
&SYSTEM
  ibrav = 0, nat = 5, ntyp = 4
/
ATOMIC_SPECIES
Ge 72.64 Ge.upf
Li 6.94 Li.upf
Pd 106.42 Pd.upf
In 114.82 In.upf
ATOMIC_POSITIONS angstrom
Ge 0.0000 0.0000 2.2282
Ge 2.2282 0.0000 0.0000
Li 0.0000 0.0000 0.0000
Pd 2.2282 2.4706 2.2282
In 0.0000 2.4706 0.0000
CELL_PARAMETERS angstrom
4.4564 0.0000 0.0000
0.0000 4.9412 0.0000
0.0000 0.0000 4.4564
```



x.
The following is a PBE-GGA calculation of a geometry-optimized LiInGe2Pd structure, from the Alexandria database. Values from VASP.

## Properties
Symmetry   P4/mmm, No. 123

The structure in Quantum ESPRESSO input format:
```
&SYSTEM
  ibrav = 0, nat = 5, ntyp = 4
/
ATOMIC_SPECIES
Ge 72.64 Ge.upf
Li 6.94 Li.upf
Pd 106.42 Pd.upf
In 114.82 In.upf
ATOMIC_POSITIONS angstrom
Ge 0.0000 0.0000 2.5704
Ge 2.5704 0.0000 0.0000
Li 0.0000 2.4024 0.0000
Pd 2.5704 2.4024 2.5704
In 0.0000 0.0000 0.0000
CELL_PARAMETERS angstrom
5.1409 0.0000 0.0000
0.0000 4.8049 0.0000
0.0000 0.0000 5.1409
```



In order of decreasing stability: w, x.



w.
The following is a PBE-GGA calculation of a geometry-optimized LuIn2Ge structure, from the Alexandria database. Values from VASP.

## Properties
Symmetry   P4/mmm, No. 123

The structure in Quantum ESPRESSO input format:
```
&SYSTEM
  ibrav = 0, nat = 4, ntyp = 3
/
ATOMIC_SPECIES
Ge 72.64 Ge.upf
Lu 174.97 Lu.upf
In 114.82 In.upf
ATOMIC_POSITIONS angstrom
Ge 2.4585 0.0000 0.0000
Lu 2.4585 2.1500 2.1500
In 0.0000 0.0000 2.1500
In 0.0000 2.1500 0.0000
CELL_PARAMETERS angstrom
4.9170 0.0000 0.0000
0.0000 4.2999 0.0000
0.0000 0.0000 4.2999
```



x.
The following is a PBE-GGA calculation of a geometry-optimized LuIn2Ge structure, from the Alexandria database. Values from VASP.

## Properties
Symmetry   R-3m, No. 166

The structure in Quantum ESPRESSO input format:
```
&SYSTEM
  ibrav = 0, nat = 4, ntyp = 3
/
ATOMIC_SPECIES
Ge 72.64 Ge.upf
Lu 174.97 Lu.upf
In 114.82 In.upf
ATOMIC_POSITIONS angstrom
Ge 3.4121 1.9700 5.3860
Lu 0.0000 0.0000 0.0000
In 1.7061 0.9850 7.6677
In 5.1182 2.9550 3.1042
CELL_PARAMETERS angstrom
3.4121 0.0000 0.0000
1.7061 2.9550 0.0000
1.7061 0.9850 10.7719
```



In order of decreasing stability: w, x.